## a
Entry from the Alexandria database: an optimized crystal structure of NaZrTa2 (PBE).

a = 4.840 Å, b = 4.840 Å, c = 4.840 Å
α = 60.00°, β = 60.00°, γ = 60.00°
Fractional coordinates of all 4 atoms:
1 Na 0.000 0.000 0.000
2 Zr 0.500 0.500 0.500
3 Ta 0.250 0.250 0.250
4 Ta 0.750 0.750 0.750

## b
Entry from the Alexandria database: an optimized crystal structure of NaZrTa2 (PBE).

a = 4.039 Å, b = 4.039 Å, c = 10.727 Å
α = 79.15°, β = 79.15°, γ = 90.00°
Fractional coordinates of all 8 atoms:
1 Na 0.500 0.500 0.000
2 Na 0.250 0.750 0.500
3 Zr 0.000 0.000 0.000
4 Zr 0.750 0.250 0.500
5 Ta 0.638 0.125 0.250
6 Ta 0.112 0.625 0.250
7 Ta 0.375 0.362 0.750
8 Ta 0.875 0.888 0.750

The structure with the greatest stability is a.

## a
Entry from the Alexandria database: an optimized crystal structure of NaTb6Te8 (PBE).

a = 8.734 Å, b = 8.734 Å, c = 8.734 Å
α = 60.00°, β = 60.00°, γ = 60.00°
Fractional coordinates of all 15 atoms:
1 Na 0.000 0.000 0.000
2 Tb 0.000 0.500 0.500
3 Tb 0.500 0.000 0.000
4 Tb 0.500 0.500 0.000
5 Tb 0.000 0.000 0.500
6 Tb 0.000 0.500 0.000
7 Tb 0.500 0.000 0.500
8 Te 0.750 0.750 0.750
9 Te 0.250 0.250 0.250
10 Te 0.743 0.257 0.257
11 Te 0.257 0.743 0.743
12 Te 0.257 0.257 0.743
13 Te 0.743 0.743 0.257
14 Te 0.743 0.257 0.743
15 Te 0.257 0.743 0.257

## b
Entry from the Alexandria database: an optimized crystal structure of NaTb6Te8 (PBE).

a = 4.487 Å, b = 11.623 Å, c = 11.623 Å
α = 120.00°, β = 90.00°, γ = 90.00°
Fractional coordinates of all 15 atoms:
1 Na 0.500 0.000 0.000
2 Tb 0.750 0.514 0.649
3 Tb 0.750 0.351 0.865
4 Tb 0.750 0.135 0.486
5 Tb 0.250 0.486 0.351
6 Tb 0.250 0.649 0.135
7 Tb 0.250 0.865 0.514
8 Te 0.750 0.655 0.956
9 Te 0.750 0.044 0.699
10 Te 0.750 0.301 0.345
11 Te 0.250 0.345 0.044
12 Te 0.250 0.956 0.301
13 Te 0.250 0.699 0.655
14 Te 0.750 0.667 0.333
15 Te 0.250 0.333 0.667

The structure with the greatest stability is a.

## a
Entry from the Alexandria database: an optimized crystal structure of NaTb2Th (PBE).

a = 3.580 Å, b = 3.580 Å, c = 10.432 Å
α = 90.00°, β = 90.00°, γ = 90.00°
Fractional coordinates of all 4 atoms:
1 Na 0.500 0.500 0.500
2 Tb 0.000 0.000 0.774
3 Tb 0.000 0.000 0.226
4 Th 0.500 0.500 0.000

## b
Entry from the Alexandria database: an optimized crystal structure of NaTb2Th (PBE).

a = 3.551 Å, b = 3.551 Å, c = 12.755 Å
α = 82.00°, β = 82.00°, γ = 60.00°
Fractional coordinates of all 4 atoms:
1 Na 0.000 0.000 0.000
2 Tb 0.093 0.093 0.720
3 Tb 0.907 0.907 0.280
4 Th 0.500 0.500 0.500

The structure with the greatest stability is a.

## a
Entry from the Alexandria database: an optimized crystal structure of NaTbTl (PBE).

a = 3.779 Å, b = 3.779 Å, c = 6.893 Å
α = 105.91°, β = 105.91°, γ = 90.00°
Site moments in Bohr magnetons follow the coordinates.
Fractional coordinates of all 3 atoms:
1 Na 0.599 0.599 0.198  0.00
2 Tl 0.947 0.947 0.894  0.01
3 Tb 0.304 0.304 0.608  0.21

## b
Entry from the Alexandria database: an optimized crystal structure of NaTbTl (PBE).

a = 5.516 Å, b = 5.516 Å, c = 6.389 Å
α = 90.00°, β = 90.00°, γ = 120.01°
Fractional coordinates of all 6 atoms:
1 Na 0.000 0.500 0.000
2 Na 0.000 0.500 0.500
3 Tb 0.333 0.167 0.750
4 Tb 0.667 0.833 0.250
5 Tl 0.667 0.833 0.750
6 Tl 0.333 0.167 0.250

## c
Entry from the Alexandria database: an optimized crystal structure of NaTbTl (PBE).

a = 3.405 Å, b = 5.309 Å, c = 5.309 Å
α = 120.00°, β = 90.00°, γ = 90.00°
Fractional coordinates of all 3 atoms:
1 Na 0.834 0.000 0.000
2 Tl 0.833 0.667 0.333
3 Tb 0.333 0.333 0.667

The structure with the greatest stability is b.

## a
Entry from the Alexandria database: an optimized crystal structure of Na3Tc (PBE).

a = 5.751 Å, b = 5.751 Å, c = 5.751 Å
α = 131.18°, β = 131.18°, γ = 71.53°
Site moments in Bohr magnetons follow the coordinates.
Fractional coordinates of all 4 atoms:
1 Na 0.750 0.250 0.500  -0.01
2 Na 0.250 0.750 0.500  -0.01
3 Na 0.500 0.500 0.000  -0.01
4 Tc 0.000 0.000 0.000  2.96

## b
Entry from the Alexandria database: an optimized crystal structure of Na3Tc (PBE).

a = 5.305 Å, b = 5.305 Å, c = 5.305 Å
α = 60.00°, β = 60.00°, γ = 60.00°
Site moments in Bohr magnetons follow the coordinates.
Fractional coordinates of all 4 atoms:
1 Na 0.250 0.250 0.250  -0.01
2 Na 0.750 0.750 0.750  -0.01
3 Na 0.500 0.500 0.500  -0.02
4 Tc 0.000 0.000 0.000  2.96

The structure with the greatest stability is a.

## a
Entry from the Alexandria database: an optimized crystal structure of NaTi2Tc (PBE).

a = 3.959 Å, b = 3.959 Å, c = 9.622 Å
α = 78.13°, β = 78.13°, γ = 90.00°
Fractional coordinates of all 8 atoms:
1 Na 0.500 0.500 0.000
2 Na 0.250 0.750 0.500
3 Tc 0.000 0.000 0.000
4 Tc 0.750 0.250 0.500
5 Ti 0.654 0.125 0.250
6 Ti 0.096 0.625 0.250
7 Ti 0.375 0.346 0.750
8 Ti 0.875 0.904 0.750

## b
Entry from the Alexandria database: an optimized crystal structure of NaTi2Tc (PBE).

a = 4.550 Å, b = 4.550 Å, c = 4.550 Å
α = 60.00°, β = 60.00°, γ = 60.00°
Fractional coordinates of all 4 atoms:
1 Na 0.000 0.000 0.000
2 Tc 0.500 0.500 0.500
3 Ti 0.250 0.250 0.250
4 Ti 0.750 0.750 0.750

The structure with the greatest stability is b.

## a
Entry from the Alexandria database: an optimized crystal structure of NaTiTc2 (PBE).

a = 3.979 Å, b = 3.979 Å, c = 9.770 Å
α = 78.25°, β = 78.25°, γ = 90.00°
Fractional coordinates of all 8 atoms:
1 Na 0.500 0.500 0.000
2 Na 0.250 0.750 0.500
3 Tc 0.707 0.125 0.250
4 Tc 0.043 0.625 0.250
5 Tc 0.375 0.293 0.750
6 Tc 0.875 0.957 0.750
7 Ti 0.000 0.000 0.000
8 Ti 0.750 0.250 0.500

## b
Entry from the Alexandria database: an optimized crystal structure of NaTiTc2 (PBE).

a = 4.460 Å, b = 4.460 Å, c = 4.460 Å
α = 60.00°, β = 60.00°, γ = 60.00°
Fractional coordinates of all 4 atoms:
1 Na 0.000 0.000 0.000
2 Tc 0.250 0.250 0.250
3 Tc 0.750 0.750 0.750
4 Ti 0.500 0.500 0.500

The structure with the greatest stability is b.

## a
Entry from the Alexandria database: an optimized crystal structure of NaTlTc2 (PBE).

a = 7.986 Å, b = 7.986 Å, c = 6.195 Å
α = 49.86°, β = 49.86°, γ = 90.00°
Site moments in Bohr magnetons follow the coordinates.
Fractional coordinates of all 8 atoms:
1 Na 0.500 0.500 0.000  0.00
2 Na 0.250 0.750 0.500  0.00
3 Tl 0.000 0.000 0.000  -0.01
4 Tl 0.750 0.250 0.500  -0.01
5 Tc 0.653 0.125 0.250  0.66
6 Tc 0.097 0.625 0.250  0.66
7 Tc 0.375 0.347 0.750  0.66
8 Tc 0.875 0.903 0.750  0.66

## b
Entry from the Alexandria database: an optimized crystal structure of NaTlTc2 (PBE).

a = 4.711 Å, b = 4.711 Å, c = 4.711 Å
α = 60.00°, β = 60.00°, γ = 60.00°
Site moments in Bohr magnetons follow the coordinates.
Fractional coordinates of all 4 atoms:
1 Na 0.000 0.000 0.000  0.01
2 Tl 0.500 0.500 0.500  -0.05
3 Tc 0.250 0.250 0.250  1.98
4 Tc 0.750 0.750 0.750  1.98

The structure with the greatest stability is b.

## a
Entry from the Alexandria database: an optimized crystal structure of Na2TlTc (PBE).

a = 5.113 Å, b = 5.113 Å, c = 5.113 Å
α = 60.00°, β = 60.00°, γ = 60.00°
Site moments in Bohr magnetons follow the coordinates.
Fractional coordinates of all 4 atoms:
1 Na 0.250 0.250 0.250  -0.01
2 Na 0.750 0.750 0.750  -0.01
3 Tl 0.500 0.500 0.500  -0.07
4 Tc 0.000 0.000 0.000  2.88

## b
Entry from the Alexandria database: an optimized crystal structure of Na2TlTc (PBE).

a = 8.437 Å, b = 8.437 Å, c = 6.598 Å
α = 50.25°, β = 50.25°, γ = 90.00°
Site moments in Bohr magnetons follow the coordinates.
Fractional coordinates of all 8 atoms:
1 Na 0.618 0.125 0.250  -0.01
2 Na 0.132 0.625 0.250  -0.01
3 Na 0.375 0.382 0.750  -0.01
4 Na 0.875 0.868 0.750  -0.01
5 Tl 0.000 0.000 0.000  -0.07
6 Tl 0.750 0.250 0.500  -0.07
7 Tc 0.500 0.500 0.000  2.34
8 Tc 0.250 0.750 0.500  2.34

The structure with the greatest stability is a.

## a
Entry from the Alexandria database: an optimized crystal structure of NaV2Tc (PBE).

a = 4.399 Å, b = 4.399 Å, c = 4.399 Å
α = 60.00°, β = 60.00°, γ = 60.00°
Fractional coordinates of all 4 atoms:
1 Na 0.000 0.000 0.000
2 Tc 0.500 0.500 0.500
3 V 0.250 0.250 0.250
4 V 0.750 0.750 0.750

## b
Entry from the Alexandria database: an optimized crystal structure of NaV2Tc (PBE).

a = 3.770 Å, b = 3.770 Å, c = 9.485 Å
α = 78.54°, β = 78.54°, γ = 90.00°
Fractional coordinates of all 8 atoms:
1 Na 0.500 0.500 0.000
2 Na 0.250 0.750 0.500
3 Tc 0.000 0.000 0.000
4 Tc 0.750 0.250 0.500
5 V 0.656 0.125 0.250
6 V 0.094 0.625 0.250
7 V 0.375 0.344 0.750
8 V 0.875 0.906 0.750

The structure with the greatest stability is a.

## a
Entry from the Alexandria database: an optimized crystal structure of NaY3Tc (PBE).

a = 5.363 Å, b = 5.363 Å, c = 5.363 Å
α = 90.00°, β = 90.00°, γ = 90.00°
Site moments in Bohr magnetons follow the coordinates.
Fractional coordinates of all 5 atoms:
1 Y 0.000 0.500 0.000  -0.33
2 Y 0.000 0.000 0.500  -0.34
3 Y 0.500 0.000 0.000  -0.33
4 Na 0.000 0.000 0.000  -0.02
5 Tc 0.500 0.500 0.500  2.53

## b
Entry from the Alexandria database: an optimized crystal structure of NaY3Tc (PBE).

a = 5.464 Å, b = 5.464 Å, c = 5.464 Å
α = 90.00°, β = 90.00°, γ = 90.00°
Fractional coordinates of all 5 atoms:
1 Y 0.000 0.500 0.000
2 Y 0.000 0.000 0.500
3 Y 0.500 0.000 0.000
4 Na 0.500 0.500 0.500
5 Tc 0.000 0.000 0.000

The structure with the greatest stability is b.

## a
Entry from the Alexandria database: an optimized crystal structure of Na2YTc (PBE).

a = 4.031 Å, b = 4.031 Å, c = 12.497 Å
α = 80.72°, β = 80.72°, γ = 90.00°
Site moments in Bohr magnetons follow the coordinates.
Fractional coordinates of all 8 atoms:
1 Y 0.500 0.500 0.000  -0.07
2 Y 0.250 0.750 0.500  -0.07
3 Na 0.645 0.125 0.250  -0.01
4 Na 0.105 0.625 0.250  -0.01
5 Na 0.375 0.355 0.750  -0.01
6 Na 0.875 0.895 0.750  -0.01
7 Tc 0.000 0.000 0.000  1.23
8 Tc 0.750 0.250 0.500  1.22

## b
Entry from the Alexandria database: an optimized crystal structure of Na2YTc (PBE).

a = 5.092 Å, b = 5.092 Å, c = 5.092 Å
α = 60.00°, β = 60.00°, γ = 60.00°
Site moments in Bohr magnetons follow the coordinates.
Fractional coordinates of all 4 atoms:
1 Y 0.000 0.000 0.000  -0.29
2 Na 0.250 0.250 0.250  -0.02
3 Na 0.750 0.750 0.750  -0.02
4 Tc 0.500 0.500 0.500  1.90

The structure with the greatest stability is a.

## a
Entry from the Alexandria database: an optimized crystal structure of NaYTc2 (PBE).

a = 4.804 Å, b = 4.804 Å, c = 4.804 Å
α = 60.00°, β = 60.00°, γ = 60.00°
Site moments in Bohr magnetons follow the coordinates.
Fractional coordinates of all 4 atoms:
1 Y 0.500 0.500 0.500  -0.02
2 Na 0.000 0.000 0.000  0.00
3 Tc 0.250 0.250 0.250  1.48
4 Tc 0.750 0.750 0.750  1.48

## b
Entry from the Alexandria database: an optimized crystal structure of NaYTc2 (PBE).

a = 7.777 Å, b = 7.777 Å, c = 6.085 Å
α = 50.28°, β = 50.28°, γ = 90.00°
Fractional coordinates of all 8 atoms:
1 Y 0.000 0.000 0.000
2 Y 0.750 0.250 0.500
3 Na 0.500 0.500 0.000
4 Na 0.250 0.750 0.500
5 Tc 0.603 0.125 0.250
6 Tc 0.147 0.625 0.250
7 Tc 0.375 0.397 0.750
8 Tc 0.875 0.853 0.750

The structure with the greatest stability is a.